Material: K2SeO
Method: DFT, PBE-GGA
State: optimized geometry

Geometry as CIF:
```
data_K2SeO
_symmetry_space_group_name_H-M 'P 1'
_symmetry_Int_Tables_number 1
_cell_length_a 4.8047
_cell_length_b 12.9890
_cell_length_c 7.6434
_cell_angle_alpha 90.00
_cell_angle_beta 90.00
_cell_angle_gamma 90.00
loop_
_symmetry_equiv_pos_as_xyz
'x,y,z'
loop_
_atom_site_label
_atom_site_fract_x
_atom_site_fract_y
_atom_site_fract_z
K1 0.0000 0.9259 0.7706
K2 0.0000 0.0741 0.2706
K3 0.5000 0.4259 0.7706
K4 0.5000 0.5741 0.2706
K5 0.0000 0.7864 0.2948
K6 0.0000 0.2136 0.7948
K7 0.5000 0.2864 0.2948
K8 0.5000 0.7136 0.7948
O1 0.0000 0.2559 0.1415
O2 0.0000 0.7441 0.6415
O3 0.5000 0.7559 0.1415
O4 0.5000 0.2441 0.6415
Se1 0.0000 0.6036 0.5839
Se2 0.0000 0.3964 0.0839
Se3 0.5000 0.1036 0.5839
Se4 0.5000 0.8964 0.0839
```

Values from the calculation:
Raw formation energy (eV per formula unit): -4.2
Crystal system: orthorhombic
Energy above the most stable polymorph in this dataset (meV/atom): 39.2